This record from the Alexandria database describes Tl3In5Pb4 after structural relaxation. The functional is PBE.

Energy of formation from the pure elements (eV/atom): 0.014
Symmetry: P-1 (2)
Total moment (μB/f.u.): 0.0

a = 6.787 Å, b = 7.350 Å, c = 7.994 Å
α = 74.46°, β = 78.74°, γ = 69.04°
Sites, in units of the cell vectors:
Tl 0.000 0.000 0.000
Tl 0.248 0.490 0.003
Tl 0.752 0.510 0.997
In 0.078 0.167 0.340
In 0.163 0.338 0.660
In 0.500 0.000 0.000
In 0.837 0.662 0.340
In 0.922 0.833 0.660
Pb 0.332 0.672 0.336
Pb 0.421 0.836 0.665
Pb 0.579 0.164 0.335
Pb 0.668 0.328 0.664